Below is crystalline SrLi2SbH at its relaxed geometry, with properties calculated at the PBE level.

Calculated volume, A^3/atom: 20.9
Symmetry: P4/mmm (123)
Offset from the most stable computed form, kcal/mol of atoms: 2.09

```
SrLi2SbH
1.0
4.623 0.000 0.000
0.000 4.623 0.000
0.000 0.000 4.896
Li H Sb Sr
2 1 1 1
direct
0.500 0.000 0.000 Li
0.000 0.500 0.000 Li
0.000 0.000 0.000 H
0.500 0.500 0.500 Sb
0.000 0.000 0.500 Sr
```



Below is crystalline K2AcPmS4 at its relaxed geometry, with properties calculated at the PBE level.

Calculated volume, A^3/atom: 29.7
Symmetry: P2/m (10)
Uncorrected formation energy, eV/atom: -1.87

```
K2AcPmS4
1.0
-0.133 4.093 1.310
-7.362 -0.572 1.039
3.600 -2.006 6.634
Ac Pm K S
1 1 2 4
direct
0.000 0.000 0.000 Ac
0.500 0.500 0.000 Pm
0.000 0.500 0.500 K
0.500 0.000 0.500 K
0.500 0.250 0.212 S
0.000 0.725 0.207 S
0.500 0.750 0.788 S
0.000 0.275 0.793 S
```



Below is crystalline LiHfMg2 at its relaxed geometry, with properties calculated at the PBE level.

Calculated volume, A^3/atom: 22.0
Symmetry: R-3m (166)
Offset from the most stable computed form, kcal/mol of atoms: 4.14

```
LiHfMg2
1.0
-1.235 0.046 -2.751
-1.485 -2.416 -1.026
-10.388 3.202 3.063
Hf Mg Li
1 2 1
direct
0.000 0.000 0.000 Hf
0.909 0.909 0.274 Mg
0.091 0.091 0.726 Mg
0.500 0.500 0.500 Li
```



Below is crystalline NiMoSe2 at its relaxed geometry, with properties calculated at the PBE level.

Calculated volume, A^3/atom: 18.2
Symmetry: R-3m (166)
Offset from the most stable computed form, kcal/mol of atoms: 5.94
Uncorrected formation energy, eV/atom: -0.05

```
NiMoSe2
1.0
1.874 0.000 7.978
-0.937 1.623 7.978
-0.937 -1.623 7.978
Mo Ni Se
1 1 2
direct
0.500 0.500 0.500 Mo
0.000 0.000 0.000 Ni
0.906 0.906 0.906 Se
0.094 0.094 0.094 Se
```



Below is crystalline MnRhPb4 at its relaxed geometry, with properties calculated at the PBE level.

Calculated volume, A^3/atom: 28.4
DFT total energy, eV per atom: -4.40
Symmetry: F-43m (216)

```
MnRhPb4
1.0
4.711 2.590 3.130
-0.993 5.044 3.503
0.221 -0.427 6.202
Pb Mn Rh
4 1 1
direct
0.874 0.375 0.375 Pb
0.375 0.874 0.375 Pb
0.375 0.375 0.874 Pb
0.375 0.375 0.375 Pb
0.000 0.000 0.000 Mn
0.750 0.750 0.750 Rh
```



Below is crystalline La2DyAg at its relaxed geometry, with properties calculated at the PBE level.

Calculated volume, A^3/atom: 30.6
Symmetry: C2/m (12)
Offset from the most stable computed form, kcal/mol of atoms: 0.00

```
La2DyAg
1.0
-2.047 -3.936 2.900
4.177 -3.041 -1.180
3.107 6.485 6.162
Dy La Ag
2 4 2
direct
0.652 0.652 0.805 Dy
0.348 0.348 0.195 Dy
0.500 0.000 0.500 La
0.138 0.138 0.775 La
0.862 0.862 0.225 La
0.000 0.500 0.500 La
0.751 0.249 0.000 Ag
0.249 0.751 0.000 Ag
```